Material: Ba2MgWO6
Method: DFT, GGA+U
State: optimized geometry

The structure in CIF format:
```
data_Ba2MgWO6
_chemical_formula_sum 'Ba8 Mg4 W4 O24'
_symmetry_space_group_name_H-M 'F m -3 m'
_symmetry_Int_Tables_number 225
_symmetry_space_group_name_Hall '-F 4 2 3'
_cell_length_a 8.232
_cell_length_b 8.232
_cell_length_c 8.232
_cell_angle_alpha 90.00
_cell_angle_beta 90.00
_cell_angle_gamma 90.00
loop_
_atom_site_label
_atom_site_type_symbol
_atom_site_fract_x
_atom_site_fract_y
_atom_site_fract_z
Ba1 Ba 0.250 0.250 0.250
Mg1 Mg 0.000 0.000 0.000
W1 W 0.000 0.000 0.500
O1 O 0.000 0.000 0.261
```

Results
crystal system: cubic
raw total energy: -276.33 eV per cell
DOS at the Fermi energy: 0.000 states/eV per cell